Density functional theory data (PBE-GGA) for an optimized crystal structure of K2PaAgS4.

Computed properties:
ΔE_f (raw) in kJ/mol of atoms: -117
Volume in Å³ per cell: 206.3
E_tot in eV for the cell shown: -40.72

abc: 4.171 6.739 7.716
angles: 107.98 90.00 90.00
Fractional positions:
1 S 0.500 0.782 0.799
2 S 0.000 0.240 0.797
3 S 0.500 0.218 0.201
4 S 0.000 0.760 0.203
5 K 0.500 0.000 0.500
6 K 0.000 0.500 0.500
7 Ag 0.500 0.500 0.000
8 Pa 0.000 0.000 0.000

=====

Density functional theory data (PBE-GGA) for an optimized crystal structure of Li2Ac2Ge2H.

Computed properties:
Volume in Å³ per cell: 158.6
E_tot in eV for the cell shown: -28.26

abc: 4.432 4.432 8.663
angles: 104.82 104.82 90.00
Fractional positions:
1 Li 0.000 0.500 0.000
2 Li 0.500 0.000 0.000
3 Ac 0.161 0.161 0.323
4 Ac 0.839 0.839 0.677
5 H 0.000 0.000 0.000
6 Ge 0.384 0.384 0.768
7 Ge 0.616 0.616 0.232

=====

| no. | total magnetic moment (Bohr magnetons per cell) |
| --- | --- |
| 1 | 0.000 |
| 2 | 0.000 |